Entry 1:
DFT (GGA-PBE) results for La2HgBC after structural relaxation.

Cell lengths 5.8620, 5.8620, 4.0073 Å; angles 90.00, 90.00, 90.00 degrees
Space group P4/mmm (No. 123)
Symmetry-distinct sites (fractional):
La  0.0000  0.5000  0.0000 x2
Hg  0.0000  0.0000  0.0000 x1
B  0.0000  0.0000  0.5000 x1
C  0.5000  0.5000  0.5000 x1

- energy of formation from the pure elements (kJ per mole of atoms) = 135.1


Entry 2:
DFT (GGA-PBE) results for Ac2NiIr3 after structural relaxation.

Cell lengths 4.3236, 4.3567, 7.4161 Å; angles 90.00, 90.00, 90.00 degrees
Space group Pmm2 (No. 25)
Symmetry-distinct sites (fractional):
Ac  0.0000  0.0000  0.0000 x1
Ac  0.5000  0.0000  0.4950 x1
Ni  0.5000  0.5000  0.1657 x1
Ir  0.0000  0.5000  0.3240 x1
Ir  0.0000  0.5000  0.6637 x1
Ir  0.5000  0.5000  0.8338 x1

- energy of formation from the pure elements (kJ per mole of atoms) = -46.7


Entry 3:
DFT (GGA-PBE) results for LiNi4Br after structural relaxation.

Cell lengths 6.8951, 6.8951, 6.8951 Å; angles 90.00, 90.00, 90.00 degrees
Space group F-43m (No. 216)
Symmetry-distinct sites (fractional):
Li  0.0000  0.0000  0.0000 x4
Ni  0.1259  0.1259  0.6259 x16
Br  0.2500  0.2500  0.2500 x4

- uncorrected formation energy (kJ/mol of formula units) = 196


Entry 4:
DFT (GGA-PBE) results for La4PrSn after structural relaxation.

Cell lengths 6.3059, 7.1230, 8.8631 Å; angles 90.00, 90.75, 90.00 degrees
Space group P2_1/m (No. 11)
Symmetry-distinct sites (fractional):
La  0.0286  0.2500  0.0153 x2
La  0.1592  0.5087  0.6559 x4
La  0.3413  0.7500  0.3306 x2
Pr  0.5000  0.0000  0.0000 x2
Sn  0.3441  0.2500  0.3394 x2

- energy of formation from the pure elements (kJ per mole of atoms) = -26.5
- energy relative to the lowest polymorph listed for this composition (meV/atom) = 0


Entry 5:
DFT (GGA-PBE) results for Hf4GePt after structural relaxation.

Cell lengths 6.4747, 6.4177, 6.4845 Å; angles 90.00, 90.28, 90.00 degrees
Space group P2_1/c (No. 14)
Symmetry-distinct sites (fractional):
Hf  0.1411  0.1376  0.3561 x4
Hf  0.3415  0.6581  0.3381 x4
Ge  0.0000  0.0000  0.0000 x2
Pt  0.5000  0.0000  0.5000 x2

- energy of formation from the pure elements (kJ per mole of atoms) = -23.5
- energy relative to the lowest polymorph listed for this composition (meV/atom) = 447


Entry 6:
DFT (GGA-PBE) results for LaAlGa4 after structural relaxation.

Cell lengths 4.6316, 6.9119, 8.1702 Å; angles 90.00, 90.00, 90.00 degrees
Space group Immm (No. 71)
Symmetry-distinct sites (fractional):
La  0.0000  0.0000  0.0000 x2
Al  0.0000  0.5000  0.0000 x2
Ga  0.0000  0.2965  0.3148 x8

- energy of formation from the pure elements (kJ per mole of atoms) = -24.1


These records have calculated density values of 6.04 12.95 6.52 6.80 12.10 5.65 g/cm3, in the order they appear.